Model w:
The following is a PBE-GGA calculation of crystalline In2Ir2Au at its relaxed geometry, from the Open Quantum Materials Database.

Lattice parameters (Å, degrees): 3.8285 3.8285 13.3487 90.00 90.00 90.00
Last column: nearest neighbours and their distance in Å.
Space group I4/mmm (No. 139)
Inequivalent atoms, fractional coordinates:
In 0.0000 0.0000 0.1042 x4  4 Ir 2.73, 1 In 2.78, 4 Au 3.04
Ir 0.0000 0.5000 0.2500 x4  4 Ir 2.71, 4 In 2.73
Au 0.0000 0.0000 0.5000 x2  8 In 3.04


Model x:
The following is a PBE-GGA calculation of crystalline In2Ir2Au at its relaxed geometry, from the Open Quantum Materials Database.

Lattice parameters (Å, degrees): 4.2225 4.2225 11.5292 90.00 90.00 90.00
Last column: nearest neighbours and their distance in Å.
Space group I4/mmm (No. 139)
Inequivalent atoms, fractional coordinates:
In 0.0000 0.5000 0.2500 x4  4 Ir 2.68, 4 In 2.99
Ir 0.0000 0.0000 0.1067 x4  1 Ir 2.46, 4 In 2.68
Au 0.0000 0.0000 0.5000 x2  8 Ir 3.23, 8 In 3.57


Which of them is the least stable? Correct choice: model x.


Model w:
The following is a PBE-GGA calculation of crystalline KIn2Au2 at its relaxed geometry, from the Open Quantum Materials Database.

Lattice parameters (Å, degrees): 4.8051 4.8051 11.8052 90.00 90.00 90.00
Last column: nearest neighbours and their distance in Å.
Space group I4/mmm (No. 139)
Inequivalent atoms, fractional coordinates:
K 0.0000 0.0000 0.0000 x2  8 Au 3.67, 8 In 3.81
In 0.0000 0.5000 0.2500 x4  4 Au 2.87
Au 0.0000 0.0000 0.3826 x4  1 Au 2.77, 4 In 2.87


Model x:
The following is a PBE-GGA calculation of crystalline KIn2Au2 at its relaxed geometry, from the Open Quantum Materials Database.

Lattice parameters (Å, degrees): 5.1680 5.1680 10.5972 90.00 90.00 90.00
Last column: nearest neighbours and their distance in Å.
Space group I4/mmm (No. 139)
Inequivalent atoms, fractional coordinates:
K 0.0000 0.0000 0.0000 x2  8 Au 3.70, 10 In 3.77-3.96
In 0.0000 0.0000 0.3558 x4  4 Au 2.82, 1 In 3.06
Au 0.0000 0.5000 0.2500 x4  4 In 2.82


Which of them is the least stable? Correct choice: model x.


Model w:
The following is a PBE-GGA calculation of crystalline KInPbAu at its relaxed geometry, from the Open Quantum Materials Database.

Lattice parameters (Å, degrees): 5.4592 25.6501 3.7854 90.00 90.00 90.00
Last column: nearest neighbours and their distance in Å.
Space group Cmm2 (No. 35)
Inequivalent atoms, fractional coordinates:
K 0.0000 0.1024 0.0000 x4  2 Au 3.35, 4 Pb 3.52-3.53
In 0.0000 0.3193 0.4995 x4  3 Au 2.80-2.83
Pb 0.0000 0.4434 0.5018 x4  1 Pb 2.90, 1 In 3.18
Au 0.0000 0.2103 0.4997 x4  3 In 2.80-2.83


Model x:
The following is a PBE-GGA calculation of crystalline KInPbAu at its relaxed geometry, from the Open Quantum Materials Database.

Lattice parameters (Å, degrees): 12.7132 5.2513 19.2890 90.00 90.00 90.00
Last column: nearest neighbours and their distance in Å.
Space group Amm2 (No. 38)
Inequivalent atoms, fractional coordinates:
K 0.0000 0.0000 0.0000 x2  3 Au 3.22-3.25
K 0.0000 0.0000 0.2351 x2  3 Au 3.22-3.24
In 0.2197 0.0000 0.4047 x4  1 Au 2.79, 2 Pb 2.97
Pb 0.2245 0.0000 0.8333 x4  1 Au 2.85, 2 In 2.97
Au 0.0000 0.0000 0.4032 x2  2 In 2.79, 2 Au 2.97
Au 0.0000 0.0000 0.8317 x2  2 Pb 2.85, 2 Au 2.97


Model y:
The following is a PBE-GGA calculation of crystalline KInPbAu at its relaxed geometry, from the Open Quantum Materials Database.

Lattice parameters (Å, degrees): 19.6536 4.8462 5.3865 90.00 94.04 90.00
Last column: nearest neighbours and their distance in Å.
Space group C2/m (No. 12)
Inequivalent atoms, fractional coordinates:
K 0.1102 0.0000 0.2781 x4  3 Au 3.44-3.54, 1 In 3.83, 2 Pb 3.84
In 0.1998 0.5000 0.8349 x4  4 Au 2.79-2.87, 1 Pb 3.11
Pb 0.0415 0.5000 0.7614 x4  1 In 3.11, 2 Pb 3.14-3.15
Au 0.2416 0.5000 0.3411 x4  4 In 2.79-2.87, 2 Au 2.97


Which of them is the least stable? Correct choice: model x.


Model w:
The following is a PBE-GGA calculation of crystalline LuInPdAu at its relaxed geometry, from the Open Quantum Materials Database.

Lattice parameters (Å, degrees): 6.8139 6.8139 6.8139 90.00 90.00 90.00
Last column: nearest neighbours and their distance in Å.
Space group F-43m (No. 216)
Inequivalent atoms, fractional coordinates:
Lu 0.0000 0.0000 0.0000 x4  4 Pd 2.95, 4 Au 2.95
In 0.0000 0.0000 0.5000 x4  4 Pd 2.95, 4 Au 2.95
Pd 0.2500 0.2500 0.2500 x4  4 In 2.95, 4 Lu 2.95
Au 0.2500 0.2500 0.7500 x4  4 In 2.95, 4 Lu 2.95


Model x:
The following is a PBE-GGA calculation of crystalline LuInPdAu at its relaxed geometry, from the Open Quantum Materials Database.

Lattice parameters (Å, degrees): 6.8206 6.8206 6.8206 90.00 90.00 90.00
Last column: nearest neighbours and their distance in Å.
Space group F-43m (No. 216)
Inequivalent atoms, fractional coordinates:
Lu 0.0000 0.0000 0.0000 x4  4 In 2.95, 4 Pd 2.95
In 0.2500 0.2500 0.7500 x4  4 Lu 2.95, 4 Au 2.95
Pd 0.2500 0.2500 0.2500 x4  4 Lu 2.95, 4 Au 2.95
Au 0.0000 0.0000 0.5000 x4  4 Pd 2.95, 4 In 2.95


Model y:
The following is a PBE-GGA calculation of crystalline LuInPdAu at its relaxed geometry, from the Open Quantum Materials Database.

Lattice parameters (Å, degrees): 6.8179 6.8179 6.8179 90.00 90.00 90.00
Last column: nearest neighbours and their distance in Å.
Space group F-43m (No. 216)
Inequivalent atoms, fractional coordinates:
Lu 0.0000 0.0000 0.0000 x4  4 In 2.95, 4 Au 2.95
In 0.2500 0.2500 0.2500 x4  4 Pd 2.95, 4 Lu 2.95
Pd 0.0000 0.0000 0.5000 x4  4 Au 2.95, 4 In 2.95
Au 0.2500 0.2500 0.7500 x4  4 Lu 2.95, 4 Pd 2.95


Which of them is the least stable? Correct choice: model x.


Model w:
The following is a PBE-GGA calculation of crystalline NaInAuO at its relaxed geometry, from the Open Quantum Materials Database.

Lattice parameters (Å, degrees): 4.5550 12.2502 5.3215 90.00 90.00 90.00
Last column: nearest neighbours and their distance in Å.
Space group Cmc2_1 (No. 36)
Inequivalent atoms, fractional coordinates:
Na 0.0000 0.0984 0.0000 x4  2 O 2.39
In 0.0000 0.3909 0.0117 x4  2 O 2.12-2.16
Au 0.0000 0.2272 0.4959 x4  1 O 2.69, 2 In 2.70
O 0.0000 0.4428 0.3995 x4  2 In 2.12-2.16


Model x:
The following is a PBE-GGA calculation of crystalline NaInAuO at its relaxed geometry, from the Open Quantum Materials Database.

Lattice parameters (Å, degrees): 7.3886 3.3440 13.6476 90.00 90.00 90.00
Last column: nearest neighbours and their distance in Å.
Space group Amm2 (No. 38)
Inequivalent atoms, fractional coordinates:
Na 0.0000 0.0000 0.0000 x2  4 O 2.51
Na 0.5000 0.0000 0.0241 x2  4 O 2.54
In 0.2708 0.0000 0.3372 x4  1 O 2.00
Au 0.0000 0.0000 0.2128 x2  2 In 2.62, 1 Na 2.90
Au 0.5000 0.0000 0.7362 x2  4 In 2.75
O 0.2523 0.0000 0.4835 x4  1 In 2.00


Model y:
The following is a PBE-GGA calculation of crystalline NaInAuO at its relaxed geometry, from the Open Quantum Materials Database.

Lattice parameters (Å, degrees): 12.0034 4.5492 6.0346 90.00 101.95 90.00
Last column: nearest neighbours and their distance in Å.
Space group C2/m (No. 12)
Inequivalent atoms, fractional coordinates:
Na 0.1277 0.0000 0.3214 x4  2 O 2.35
In 0.0937 0.5000 0.7237 x4  2 O 2.12-2.17
Au 0.2039 0.0000 0.8833 x4  3 In 2.71-3.02, 2 Au 2.78, 1 Na 2.97
O 0.0865 0.5000 0.3610 x4  2 In 2.12-2.17, 2 Na 2.35


Which of them is the least stable? Correct choice: model x.


Model w:
The following is a PBE-GGA calculation of crystalline InAuSO at its relaxed geometry, from the Open Quantum Materials Database.

Lattice parameters (Å, degrees): 6.9424 7.5050 6.2597 90.00 90.00 90.00
Last column: nearest neighbours and their distance in Å.
Space group Pca2_1 (No. 29)
Inequivalent atoms, fractional coordinates:
In 0.0448 0.1903 0.0000 x4  1 O 2.02
Au 0.1583 0.6841 0.1038 x4  1 O 2.09, 1 S 2.32
S 0.1012 0.1202 0.6029 x4  1 Au 2.32, 2 In 2.57-2.59
O 0.0606 0.5872 0.6393 x4  1 In 2.02, 1 Au 2.09


Model x:
The following is a PBE-GGA calculation of crystalline InAuSO at its relaxed geometry, from the Open Quantum Materials Database.

Lattice parameters (Å, degrees): 7.2666 6.8151 6.5403 90.00 106.75 90.00
Last column: nearest neighbours and their distance in Å.
Space group P2_1/c (No. 14)
Inequivalent atoms, fractional coordinates:
In 0.0706 0.1444 0.2078 x4  3 O 2.11-2.18
Au 0.4823 0.6636 0.2901 x4  2 S 2.32-2.33
S 0.2873 0.0892 0.6107 x4  2 Au 2.32-2.33, 1 In 2.60
O 0.0669 0.6581 0.6359 x4  3 In 2.11-2.18


Model y:
The following is a PBE-GGA calculation of crystalline InAuSO at its relaxed geometry, from the Open Quantum Materials Database.

Lattice parameters (Å, degrees): 5.5444 5.5146 10.4441 90.00 91.54 90.00
Last column: nearest neighbours and their distance in Å.
Space group P2_1 (No. 4)
Inequivalent atoms, fractional coordinates:
In 0.0050 0.0000 0.0995 x2  4 O 2.20-2.23
In 0.4951 0.0019 0.8992 x2  4 O 2.21-2.24
Au 0.0023 0.0232 0.7140 x2  2 S 2.32
Au 0.3218 0.2699 0.5015 x2  2 S 2.33
S 0.2965 0.2286 0.2796 x2  2 Au 2.32-2.33
S 0.3068 0.3124 0.7227 x2  2 Au 2.32-2.33
O 0.2453 0.2501 0.0002 x2  4 In 2.20-2.24
O 0.2536 0.7507 0.9991 x2  4 In 2.21-2.23


Which of them is the least stable? Correct choice: model w.